w.
Here is a relaxed AcRePb crystal from OQMD. Energies are from PBE.

Cell lengths 5.050, 5.050, 5.050 Å; angles 60.00, 60.00, 60.00 degrees
Fractional positions:
1 Ac 0.250 0.250 0.250
2 Pb 0.000 0.000 0.000
3 Re 0.750 0.750 0.750

Values from the calculation:
- SG = F-43m, No. 216

---

x.
Here is a relaxed AcRePb crystal from OQMD. Energies are from PBE.

Cell lengths 5.218, 5.218, 5.218 Å; angles 60.00, 60.00, 60.00 degrees
Fractional positions:
1 Ac 0.000 0.000 0.000
2 Pb 0.250 0.250 0.250
3 Re 0.750 0.750 0.750

Values from the calculation:
- SG = F-43m, No. 216

---

The least stable of them is x.

---

w.
Here is a relaxed AcTaPb crystal from OQMD. Energies are from PBE.

Cell lengths 5.159, 5.159, 5.159 Å; angles 60.00, 60.00, 60.00 degrees
Last column: magnetic moment on the atom in μB.
Fractional positions:
1 Ac 0.000 0.000 0.000  0.37
2 Pb 0.500 0.500 0.500  -0.05
3 Ta 0.250 0.250 0.250  1.71

Values from the calculation:
- SG = F-43m, No. 216

---

x.
Here is a relaxed AcTaPb crystal from OQMD. Energies are from PBE.

Cell lengths 5.371, 5.371, 5.371 Å; angles 60.00, 60.00, 60.00 degrees
Fractional positions:
1 Ac 0.000 0.000 0.000
2 Pb 0.250 0.250 0.250
3 Ta 0.750 0.750 0.750

Values from the calculation:
- SG = F-43m, No. 216

---

The least stable of them is x.

---

w.
Here is a relaxed AcTbPb crystal from OQMD. Energies are from PBE.

Cell lengths 5.586, 5.586, 5.586 Å; angles 60.00, 60.00, 60.00 degrees
Fractional positions:
1 Ac 0.000 0.000 0.000
2 Pb 0.250 0.250 0.250
3 Tb 0.750 0.750 0.750

Values from the calculation:
- SG = F-43m, No. 216

---

x.
Here is a relaxed AcTbPb crystal from OQMD. Energies are from PBE.

Cell lengths 5.455, 5.455, 5.455 Å; angles 60.00, 60.00, 60.00 degrees
Fractional positions:
1 Ac 0.500 0.500 0.500
2 Pb 0.250 0.250 0.250
3 Tb 0.000 0.000 0.000

Values from the calculation:
- SG = F-43m, No. 216

---

The least stable of them is w.

---

w.
Here is a relaxed AcTmPb crystal from OQMD. Energies are from PBE.

Cell lengths 5.576, 5.576, 5.576 Å; angles 60.00, 60.00, 60.00 degrees
Fractional positions:
1 Ac 0.000 0.000 0.000
2 Pb 0.250 0.250 0.250
3 Tm 0.750 0.750 0.750

Values from the calculation:
- SG = F-43m, No. 216

---

x.
Here is a relaxed AcTmPb crystal from OQMD. Energies are from PBE.

Cell lengths 5.419, 5.419, 5.419 Å; angles 60.00, 60.00, 60.00 degrees
Fractional positions:
1 Ac 0.250 0.250 0.250
2 Pb 0.000 0.000 0.000
3 Tm 0.750 0.750 0.750

Values from the calculation:
- SG = F-43m, No. 216

---

The least stable of them is w.

---

w.
Here is a relaxed AcPdPt crystal from OQMD. Energies are from PBE.

Cell lengths 4.764, 4.764, 4.764 Å; angles 60.00, 60.00, 60.00 degrees
Fractional positions:
1 Ac 0.250 0.250 0.250
2 Pd 0.000 0.000 0.000
3 Pt 0.750 0.750 0.750

Values from the calculation:
- SG = F-43m, No. 216

---

x.
Here is a relaxed AcPdPt crystal from OQMD. Energies are from PBE.

Cell lengths 4.904, 4.904, 4.904 Å; angles 60.00, 60.00, 60.00 degrees
Fractional positions:
1 Ac 0.000 0.000 0.000
2 Pd 0.250 0.250 0.250
3 Pt 0.750 0.750 0.750

Values from the calculation:
- SG = F-43m, No. 216

---

The least stable of them is x.

---

w.
Here is a relaxed AcSbPd crystal from OQMD. Energies are from PBE.

Cell lengths 4.671, 4.671, 4.390 Å; angles 90.00, 90.00, 120.00 degrees
Fractional positions:
1 Ac 0.333 0.667 0.667
2 Pd 0.000 0.000 0.166
3 Sb 0.667 0.333 0.167

Values from the calculation:
- SG = P-6m2, No. 187

---

x.
Here is a relaxed AcSbPd crystal from OQMD. Energies are from PBE.

Cell lengths 4.976, 4.976, 4.976 Å; angles 60.00, 60.00, 60.00 degrees
Fractional positions:
1 Ac 0.250 0.250 0.250
2 Pd 0.000 0.000 0.000
3 Sb 0.750 0.750 0.750

Values from the calculation:
- SG = F-43m, No. 216

---

y.
Here is a relaxed AcSbPd crystal from OQMD. Energies are from PBE.

Cell lengths 5.247, 5.247, 5.247 Å; angles 60.00, 60.00, 60.00 degrees
Fractional positions:
1 Ac 0.000 0.000 0.000
2 Pd 0.250 0.250 0.250
3 Sb 0.750 0.750 0.750

Values from the calculation:
- SG = F-43m, No. 216

---

The least stable of them is y.

---

w.
Here is a relaxed AcSiPd crystal from OQMD. Energies are from PBE.

Cell lengths 4.303, 4.303, 4.524 Å; angles 90.00, 90.00, 120.00 degrees
Fractional positions:
1 Ac 0.000 0.000 0.333
2 Pd 0.667 0.333 0.833
3 Si 0.333 0.667 0.834

Values from the calculation:
- SG = P-6m2, No. 187

---

x.
Here is a relaxed AcSiPd crystal from OQMD. Energies are from PBE.

Cell lengths 4.811, 4.811, 4.811 Å; angles 60.00, 60.00, 60.00 degrees
Fractional positions:
1 Ac 0.250 0.250 0.250
2 Pd 0.750 0.750 0.750
3 Si 0.000 0.000 0.000

Values from the calculation:
- SG = F-43m, No. 216

---

y.
Here is a relaxed AcSiPd crystal from OQMD. Energies are from PBE.

Cell lengths 4.804, 4.804, 4.804 Å; angles 60.00, 60.00, 60.00 degrees
Fractional positions:
1 Ac 0.250 0.250 0.250
2 Pd 0.000 0.000 0.000
3 Si 0.750 0.750 0.750

Values from the calculation:
- SG = F-43m, No. 216

---

z.
Here is a relaxed AcSiPd crystal from OQMD. Energies are from PBE.

Cell lengths 4.993, 4.993, 4.993 Å; angles 60.00, 60.00, 60.00 degrees
Fractional positions:
1 Ac 0.000 0.000 0.000
2 Pd 0.250 0.250 0.250
3 Si 0.750 0.750 0.750

Values from the calculation:
- SG = F-43m, No. 216

---

The least stable of them is z.

---

w.
Here is a relaxed AcSn2Pd2 crystal from OQMD. Energies are from PBE.

Cell lengths 6.334, 6.334, 6.334 Å; angles 135.92, 135.92, 64.10 degrees
Fractional positions:
1 Ac 0.000 0.000 0.000
2 Pd 0.750 0.250 0.500
3 Pd 0.250 0.750 0.500
4 Sn 0.366 0.366 0.000
5 Sn 0.634 0.634 0.000

Values from the calculation:
- SG = I4/mmm, No. 139

---

x.
Here is a relaxed AcSn2Pd2 crystal from OQMD. Energies are from PBE.

Cell lengths 4.612, 4.612, 6.544 Å; angles 110.63, 110.63, 90.00 degrees
Fractional positions:
1 Ac 0.000 0.000 0.000
2 Pd 0.621 0.621 0.242
3 Pd 0.379 0.379 0.758
4 Sn 0.750 0.250 0.500
5 Sn 0.250 0.750 0.500

Values from the calculation:
- SG = I4/mmm, No. 139

---

The least stable of them is x.

---

w.
Here is a relaxed AcPdW crystal from OQMD. Energies are from PBE.

Cell lengths 4.869, 4.869, 4.869 Å; angles 60.00, 60.00, 60.00 degrees
Fractional positions:
1 Ac 0.000 0.000 0.000
2 Pd 0.250 0.250 0.250
3 W 0.750 0.750 0.750

Values from the calculation:
- SG = F-43m, No. 216

---

x.
Here is a relaxed AcPdW crystal from OQMD. Energies are from PBE.

Cell lengths 4.871, 4.871, 4.871 Å; angles 60.00, 60.00, 60.00 degrees
Last column: magnetic moment on the atom in μB.
Fractional positions:
1 Ac 0.250 0.250 0.250  0.12
2 Pd 0.000 0.000 0.000  0.26
3 W 0.750 0.750 0.750  2.41

Values from the calculation:
- SG = F-43m, No. 216

---

The least stable of them is w.

---

w.
Here is a relaxed AcZnPd crystal from OQMD. Energies are from PBE.

Cell lengths 4.535, 4.535, 4.176 Å; angles 90.00, 90.00, 120.00 degrees
Fractional positions:
1 Ac 0.333 0.667 0.333
2 Pd 0.000 0.000 0.834
3 Zn 0.667 0.333 0.833

Values from the calculation:
- SG = P-6m2, No. 187

---

x.
Here is a relaxed AcZnPd crystal from OQMD. Energies are from PBE.

Cell lengths 4.894, 4.894, 4.894 Å; angles 60.00, 60.00, 60.00 degrees
Fractional positions:
1 Ac 0.500 0.500 0.500
2 Pd 0.250 0.250 0.250
3 Zn 0.000 0.000 0.000

Values from the calculation:
- SG = F-43m, No. 216

---

The least stable of them is x.

---

w.
Here is a relaxed AcPm crystal from OQMD. Energies are from PBE.

Cell lengths 5.106, 5.106, 5.106 Å; angles 60.00, 60.00, 60.00 degrees
Fractional positions:
1 Ac 0.000 0.000 0.000
2 Pm 0.250 0.250 0.250

Values from the calculation:
- SG = F-43m, No. 216

---

x.
Here is a relaxed AcPm crystal from OQMD. Energies are from PBE.

Cell lengths 3.845, 3.845, 6.132 Å; angles 90.00, 90.00, 120.00 degrees
Fractional positions:
1 Ac 0.667 0.333 0.750
2 Pm 0.333 0.667 0.250

Values from the calculation:
- SG = P-6m2, No. 187

---

The least stable of them is w.

---

w.
Here is a relaxed AcSbPt crystal from OQMD. Energies are from PBE.

Cell lengths 5.046, 5.046, 5.046 Å; angles 60.00, 60.00, 60.00 degrees
Fractional positions:
1 Ac 0.250 0.250 0.250
2 Pt 0.750 0.750 0.750
3 Sb 0.000 0.000 0.000

Values from the calculation:
- SG = F-43m, No. 216

---

x.
Here is a relaxed AcSbPt crystal from OQMD. Energies are from PBE.

Cell lengths 6.402, 6.402, 6.402 Å; angles 137.38, 92.98, 102.25 degrees
Fractional positions:
1 Ac 0.647 0.647 0.000
2 Ac 0.147 0.647 0.500
3 Pt 0.229 0.979 0.250
4 Pt 0.729 0.979 0.750
5 Sb 0.563 0.313 0.250
6 Sb 0.063 0.313 0.750

Values from the calculation:
- SG = Amm2, No. 38

---

The least stable of them is w.

---

w.
Here is a relaxed SrAcPt crystal from OQMD. Energies are from PBE.

Cell lengths 5.246, 5.246, 5.246 Å; angles 60.00, 60.00, 60.00 degrees
Fractional positions:
1 Ac 0.250 0.250 0.250
2 Pt 0.000 0.000 0.000
3 Sr 0.750 0.750 0.750

Values from the calculation:
- SG = F-43m, No. 216

---

x.
Here is a relaxed SrAcPt crystal from OQMD. Energies are from PBE.

Cell lengths 5.162, 5.162, 5.162 Å; angles 60.00, 60.00, 60.00 degrees
Fractional positions:
1 Ac 0.000 0.000 0.000
2 Pt 0.250 0.250 0.250
3 Sr 0.750 0.750 0.750

Values from the calculation:
- SG = F-43m, No. 216

---

The least stable of them is x.

---

w.
Here is a relaxed AcTlPt crystal from OQMD. Energies are from PBE.

Cell lengths 5.176, 5.176, 5.176 Å; angles 60.00, 60.00, 60.00 degrees
Fractional positions:
1 Ac 0.000 0.000 0.000
2 Pt 0.250 0.250 0.250
3 Tl 0.750 0.750 0.750

Values from the calculation:
- SG = F-43m, No. 216

---

x.
Here is a relaxed AcTlPt crystal from OQMD. Energies are from PBE.

Cell lengths 5.052, 5.052, 5.052 Å; angles 60.00, 60.00, 60.00 degrees
Fractional positions:
1 Ac 0.250 0.250 0.250
2 Pt 0.750 0.750 0.750
3 Tl 0.000 0.000 0.000

Values from the calculation:
- SG = F-43m, No. 216

---

The least stable of them is w.

---

w.
Here is a relaxed AcPuTc crystal from OQMD. Energies are from PBE.

Cell lengths 4.710, 4.710, 4.710 Å; angles 60.00, 60.00, 60.00 degrees
Fractional positions:
1 Ac 0.000 0.000 0.000
2 Pu 0.250 0.250 0.250
3 Tc 0.750 0.750 0.750

Values from the calculation:
- SG = F-43m, No. 216

---

x.
Here is a relaxed AcPuTc crystal from OQMD. Energies are from PBE.

Cell lengths 4.700, 4.700, 4.700 Å; angles 60.00, 60.00, 60.00 degrees
Last column: magnetic moment on the atom in μB.
Fractional positions:
1 Ac 0.250 0.250 0.250  0.36
2 Pu 0.000 0.000 0.000  5.36
3 Tc 0.750 0.750 0.750  -0.72

Values from the calculation:
- SG = F-43m, No. 216

---

The least stable of them is w.